1.
Material: Na3Tl3AgBr8
Method: DFT, PBE
State: relaxed

Properties
calculated volume = 505.14 Å³/f.u.
magnetization = 0.922 μB/f.u.
crystal system = monoclinic
uncorrected energy = -2.80 eV/atom
formation energy (no corrections) = -0.9813 eV/atom

CIF file:
```
data_Na3Tl3AgBr8
_chemical_formula_sum 'Na6 Tl6 Ag2 Br16'
_cell_length_a 14.998
_cell_length_b 8.770
_cell_length_c 9.173
_cell_angle_alpha 90.00
_cell_angle_beta 123.14
_cell_angle_gamma 90.00
_space_group_name_H-M_alt 'C 1 2/m 1'
_space_group_IT_number 12
_space_group_name_Hall '-C 2y'
loop_
_atom_site_label
_atom_site_fract_x
_atom_site_fract_y
_atom_site_fract_z
Na1 0.000 0.000 0.000
Na2 0.250 0.250 0.000
Tl1 0.000 0.500 0.500
Tl2 0.250 0.250 0.500
Ag1 0.000 0.500 0.000
Br1 0.011 0.259 0.790
Br2 0.214 0.500 0.195
Br3 0.239 0.000 0.216
```

***

2.
Material: Na3Tl4AgBr8
Method: DFT, PBE
State: relaxed

Properties
calculated volume = 512.39 Å³/f.u.
magnetization = 0.000 μB/f.u.
crystal system = monoclinic
uncorrected energy = -2.89 eV/atom
formation energy (no corrections) = -1.0376 eV/atom

CIF file:
```
data_Na3Tl4AgBr8
_chemical_formula_sum 'Na6 Tl8 Ag2 Br16'
_cell_length_a 15.359
_cell_length_b 8.855
_cell_length_c 9.109
_cell_angle_alpha 90.00
_cell_angle_beta 124.20
_cell_angle_gamma 90.00
_space_group_name_H-M_alt 'C 1 2/m 1'
_space_group_IT_number 12
_space_group_name_Hall '-C 2y'
loop_
_atom_site_label
_atom_site_fract_x
_atom_site_fract_y
_atom_site_fract_z
Na1 0.000 0.000 0.000
Na2 0.250 0.250 0.000
Tl1 0.000 0.000 0.500
Tl2 0.000 0.500 0.500
Tl3 0.250 0.250 0.500
Ag1 0.000 0.500 0.000
Br1 0.011 0.254 0.786
Br2 0.236 0.500 0.215
Br3 0.239 0.000 0.217
```

***

3.
Material: Na2TmAgBr6
Method: DFT, PBE
State: relaxed

Properties
calculated volume = 307.09 Å³/f.u.
magnetization = 0.000 μB/f.u.
crystal system = triclinic
uncorrected energy = -3.42 eV/atom
formation energy (no corrections) = -1.4231 eV/atom

CIF file:
```
data_Na2TmAgBr6
_chemical_formula_sum 'Na2 Tm1 Ag1 Br6'
_cell_length_a 7.350
_cell_length_b 7.356
_cell_length_c 7.805
_cell_angle_alpha 90.11
_cell_angle_beta 118.01
_cell_angle_gamma 119.94
_space_group_name_H-M_alt 'P 1'
_space_group_IT_number 1
_space_group_name_Hall 'P 1'
loop_
_atom_site_label
_atom_site_fract_x
_atom_site_fract_y
_atom_site_fract_z
Na1 0.000 0.000 0.000
Na2 0.021 0.510 0.531
Tm1 0.624 0.312 0.935
Ag1 0.599 0.800 0.398
Br1 0.106 0.414 0.200
Br2 0.138 0.198 0.707
Br3 0.508 0.094 0.200
Br4 0.509 0.941 0.706
Br5 0.766 0.569 0.707
Br6 0.786 0.693 0.200
```

***

4.
Material: NaTmAgBr5
Method: DFT, PBE
State: relaxed

Properties
calculated volume = 269.70 Å³/f.u.
magnetization = 0.000 μB/f.u.
crystal system = monoclinic
uncorrected energy = -3.51 eV/atom
formation energy (no corrections) = -1.3797 eV/atom

CIF file:
```
data_NaTmAgBr5
_chemical_formula_sum 'Na4 Tm4 Ag4 Br20'
_cell_length_a 8.173
_cell_length_b 13.638
_cell_length_c 10.311
_cell_angle_alpha 90.00
_cell_angle_beta 110.17
_cell_angle_gamma 90.00
_space_group_name_H-M_alt 'C 1 2/c 1'
_space_group_IT_number 15
_space_group_name_Hall '-C 2yc'
loop_
_atom_site_label
_atom_site_fract_x
_atom_site_fract_y
_atom_site_fract_z
Na1 0.000 0.065 0.250
Tm1 0.000 0.500 0.000
Ag1 0.000 0.218 0.750
Br1 0.000 0.420 0.250
Br2 0.173 0.332 0.626
Br3 0.176 0.086 0.956
```